1.
! BaSnAs3 (PBE, optimized geometry); values from VASP
! - energy of formation (kJ per mole of atoms) = -1.2
! - total moment (μB per cell) = 0.0
! - energy above the most stable polymorph in this dataset (meV per atom) = 0
&SYSTEM
  ibrav = 0, nat = 5, ntyp = 3
/
ATOMIC_SPECIES
Ba 137.33 Ba.upf
As 74.92 As.upf
Sn 118.71 Sn.upf
CELL_PARAMETERS angstrom
-1.4574 1.6316 -4.8876
-4.4492 -2.9606 0.3384
-2.5991 4.1530 2.1614
ATOMIC_POSITIONS crystal
Ba 0.5000 0.5000 0.5000
As 0.0000 0.5000 0.0000
As 0.0000 0.0000 0.5000
As 0.5000 0.0000 0.0000
Sn 0.0000 0.0000 0.0000

---

2.
! Ba2SnAs3 (PBE, optimized geometry); values from VASP
! - energy of formation (kJ per mole of atoms) = -53.9
! - total moment (μB per cell) = 1.4
&SYSTEM
  ibrav = 0, nat = 12, ntyp = 3
/
ATOMIC_SPECIES
As 74.92 As.upf
Sn 118.71 Sn.upf
Ba 137.33 Ba.upf
CELL_PARAMETERS angstrom
-5.6952 2.9680 -2.7777
-5.0603 -6.9919 2.9043
2.8452 3.0757 6.2658
ATOMIC_POSITIONS crystal
As 0.4741 0.2500 0.0000
Sn 0.1019 0.2500 0.0000
Ba 0.6909 0.5784 0.3542
Ba 0.3091 0.4216 0.6458
Sn 0.8981 0.7500 0.0000
Ba 0.3367 0.9216 0.6458
As 0.1537 0.5887 0.2597
As 0.8941 0.9113 0.7403
As 0.1059 0.0887 0.2597
As 0.8463 0.4113 0.7403
As 0.5259 0.7500 0.0000
Ba 0.6633 0.0784 0.3542

---

3.
! Ba5Sn2As6 (PBE, optimized geometry); values from VASP
! - energy of formation (kJ per mole of atoms) = -85.5
! - total moment (μB per cell) = 0.0
&SYSTEM
  ibrav = 0, nat = 26, ntyp = 3
/
ATOMIC_SPECIES
As 74.92 As.upf
Ba 137.33 Ba.upf
Sn 118.71 Sn.upf
CELL_PARAMETERS angstrom
-1.5571 -3.9913 -1.2567
11.8995 -4.4504 -0.6093
-0.8625 -4.3397 14.8519
ATOMIC_POSITIONS crystal
As 0.5000 0.3223 0.1773
Ba 0.5000 0.9269 0.7526
As 0.0000 0.0135 0.8986
As 0.5000 0.6777 0.8227
Ba 0.5000 0.3320 0.4938
Ba 0.5000 0.8320 0.0062
Sn 0.0000 0.6748 0.7141
As 0.0000 0.1586 0.3970
As 0.0000 0.9865 0.1014
Ba 0.5000 0.0731 0.2474
Sn 0.0000 0.3252 0.2859
Sn 0.0000 0.1748 0.7859
Ba 0.5000 0.1680 0.9938
Ba 0.5000 0.5000 0.0000
Sn 0.0000 0.8252 0.2141
As 0.5000 0.1777 0.6773
Ba 0.5000 0.6680 0.5062
Ba 0.5000 0.4269 0.7474
As 0.0000 0.6586 0.1030
As 0.5000 0.8223 0.3227
As 0.0000 0.8414 0.6030
Ba 0.5000 0.5731 0.2526
As 0.0000 0.4865 0.3986
As 0.0000 0.5135 0.6014
Ba 0.5000 0.0000 0.5000
As 0.0000 0.3414 0.8970

---

4.
! BaSn2As (PBE, optimized geometry); values from VASP
! - energy of formation (kJ per mole of atoms) = -34.5
! - total moment (μB per cell) = 0.0
&SYSTEM
  ibrav = 0, nat = 8, ntyp = 3
/
ATOMIC_SPECIES
As 74.92 As.upf
Sn 118.71 Sn.upf
Ba 137.33 Ba.upf
CELL_PARAMETERS angstrom
8.9189 0.0000 0.0000
0.0000 8.9189 0.0000
4.4594 4.4594 3.2793
ATOMIC_POSITIONS crystal
As 0.2500 0.7500 0.5000
Sn 0.5629 0.1250 0.2500
Ba 0.0000 0.0000 0.0000
Sn 0.1871 0.6250 0.2500
As 0.5000 0.5000 0.0000
Ba 0.7500 0.2500 0.5000
Sn 0.8750 0.8129 0.7500
Sn 0.3750 0.4371 0.7500

---

5.
! Ba3SnAs3 (PBE, optimized geometry); values from VASP
! - energy of formation (kJ per mole of atoms) = -84.3
! - total moment (μB per cell) = 1.2
! - energy above the most stable polymorph in this dataset (meV per atom) = 59
&SYSTEM
  ibrav = 0, nat = 14, ntyp = 3
/
ATOMIC_SPECIES
Ba 137.33 Ba.upf
As 74.92 As.upf
Sn 118.71 Sn.upf
CELL_PARAMETERS angstrom
-3.3467 -0.7108 5.7863
5.1437 -7.9068 2.0038
3.1388 8.6518 2.8782
ATOMIC_POSITIONS crystal
Ba 0.7500 0.3756 0.0771
As 0.7500 0.0799 0.7013
Sn 0.2500 0.6667 0.3333
Ba 0.2500 0.6244 0.9229
Ba 0.7500 0.9229 0.2985
Ba 0.7500 0.7015 0.6244
As 0.2500 0.9201 0.2987
Sn 0.7500 0.3333 0.6667
As 0.7500 0.2987 0.3787
Ba 0.2500 0.0771 0.7015
As 0.7500 0.6213 0.9201
As 0.2500 0.7013 0.6213
As 0.2500 0.3787 0.0799
Ba 0.2500 0.2985 0.3756

---

6.
! Ba2Sn2As (PBE, optimized geometry); values from VASP
! - energy of formation (kJ per mole of atoms) = -50.7
! - total moment (μB per cell) = 0.0
&SYSTEM
  ibrav = 0, nat = 10, ntyp = 3
/
ATOMIC_SPECIES
Sn 118.71 Sn.upf
Ba 137.33 Ba.upf
As 74.92 As.upf
CELL_PARAMETERS angstrom
-3.2470 -6.7448 -3.2253
-0.1488 -3.4573 7.3798
-4.8321 1.9385 0.8107
ATOMIC_POSITIONS crystal
Sn 0.1289 0.3711 0.0000
Sn 0.8711 0.6289 0.0000
Ba 0.3243 0.1757 0.5000
Ba 0.6757 0.8243 0.5000
Ba 0.1757 0.6757 0.5000
Sn 0.3711 0.8711 0.0000
As 0.5000 0.5000 0.0000
As 0.0000 0.0000 0.0000
Ba 0.8243 0.3243 0.5000
Sn 0.6289 0.1289 0.0000

---

7.
! Ba2SnAs2 (PBE, optimized geometry); values from VASP
! - energy of formation (kJ per mole of atoms) = -78.6
! - total moment (μB per cell) = 0.0
&SYSTEM
  ibrav = 0, nat = 10, ntyp = 3
/
ATOMIC_SPECIES
As 74.92 As.upf
Ba 137.33 Ba.upf
Sn 118.71 Sn.upf
CELL_PARAMETERS angstrom
-2.0110 7.7095 -1.0043
-6.9902 -2.2470 -3.2523
-2.0876 0.0367 4.4616
ATOMIC_POSITIONS crystal
As 0.3874 0.8874 0.0000
As 0.8874 0.6126 0.0000
Ba 0.3182 0.1818 0.5000
Sn 0.0000 0.0000 0.0000
Sn 0.5000 0.5000 0.0000
Ba 0.8182 0.3182 0.5000
As 0.1126 0.3874 0.0000
Ba 0.6818 0.8182 0.5000
As 0.6126 0.1126 0.0000
Ba 0.1818 0.6818 0.5000

---

8.
! Ba3SnAs3 (PBE, optimized geometry); values from VASP
! - energy of formation (kJ per mole of atoms) = -90.0
! - total moment (μB per cell) = 0.0
! - energy above the most stable polymorph in this dataset (meV per atom) = 0
&SYSTEM
  ibrav = 0, nat = 28, ntyp = 3
/
ATOMIC_SPECIES
Ba 137.33 Ba.upf
As 74.92 As.upf
Sn 118.71 Sn.upf
CELL_PARAMETERS angstrom
4.9971 0.0000 0.0000
0.0000 13.7529 0.0000
0.0000 0.0000 14.3479
ATOMIC_POSITIONS crystal
Ba 0.7500 0.1373 0.0023
Ba 0.7500 0.6373 0.4977
As 0.7500 0.4648 0.6562
Ba 0.7500 0.4237 0.8921
As 0.2500 0.0892 0.6181
As 0.7500 0.7644 0.1232
As 0.7500 0.9108 0.3819
As 0.2500 0.0352 0.1562
Ba 0.2500 0.2829 0.2034
Sn 0.7500 0.4519 0.3048
Sn 0.7500 0.9519 0.1952
As 0.7500 0.9648 0.8438
Ba 0.2500 0.0763 0.3921
As 0.2500 0.5892 0.8819
Ba 0.7500 0.7171 0.7966
Ba 0.7500 0.2171 0.7034
As 0.2500 0.7356 0.6232
Ba 0.2500 0.7829 0.2966
Sn 0.2500 0.5481 0.6952
As 0.2500 0.2356 0.8768
Ba 0.2500 0.8627 0.9977
As 0.7500 0.4108 0.1181
Sn 0.2500 0.0481 0.8048
As 0.2500 0.5352 0.3438
Ba 0.7500 0.9237 0.6079
Ba 0.2500 0.5763 0.1079
As 0.7500 0.2644 0.3768
Ba 0.2500 0.3627 0.5023

---

9.
! BaSnAs3 (PBE, optimized geometry); values from VASP
! - energy of formation (kJ per mole of atoms) = 96.9
! - total moment (μB per cell) = 0.0
! - energy above the most stable polymorph in this dataset (meV per atom) = 1017
&SYSTEM
  ibrav = 0, nat = 5, ntyp = 3
/
ATOMIC_SPECIES
Ba 137.33 Ba.upf
As 74.92 As.upf
Sn 118.71 Sn.upf
CELL_PARAMETERS angstrom
5.7565 0.0000 0.0000
0.0000 5.7565 0.0000
0.0000 0.0000 5.7565
ATOMIC_POSITIONS crystal
Ba 0.0000 0.0000 0.0000
As 0.0000 0.0000 0.5000
As 0.0000 0.5000 0.0000
As 0.5000 0.0000 0.0000
Sn 0.5000 0.5000 0.5000

---

10.
! Ba3SnAs4 (PBE, optimized geometry); values from VASP
! - energy of formation (kJ per mole of atoms) = -83.2
! - total moment (μB per cell) = 0.0
&SYSTEM
  ibrav = 0, nat = 32, ntyp = 3
/
ATOMIC_SPECIES
Ba 137.33 Ba.upf
As 74.92 As.upf
Sn 118.71 Sn.upf
CELL_PARAMETERS angstrom
8.9976 0.0000 0.0000
0.0000 10.4336 0.0000
0.0000 0.0000 11.3028
ATOMIC_POSITIONS crystal
Ba 0.5469 0.1872 0.9473
As 0.6262 0.5354 0.5355
Ba 0.9531 0.6872 0.0527
Ba 0.5469 0.1872 0.5527
As 0.5281 0.0957 0.2500
As 0.0281 0.4043 0.2500
As 0.1262 0.9646 0.9645
As 0.9719 0.5957 0.7500
As 0.8083 0.2127 0.7500
Ba 0.4531 0.8128 0.4473
Ba 0.3428 0.5935 0.7500
Sn 0.7312 0.4533 0.7500
As 0.3083 0.2873 0.7500
Sn 0.2312 0.0467 0.7500
As 0.1917 0.7873 0.2500
Sn 0.2688 0.5467 0.2500
Ba 0.1572 0.0935 0.2500
Ba 0.0469 0.3128 0.9473
Ba 0.4531 0.8128 0.0527
As 0.4719 0.9043 0.7500
As 0.6262 0.5354 0.9645
As 0.1262 0.9646 0.5355
Sn 0.7688 0.9533 0.2500
As 0.3738 0.4646 0.4645
Ba 0.9531 0.6872 0.4473
Ba 0.6572 0.4065 0.2500
As 0.3738 0.4646 0.0355
Ba 0.8428 0.9065 0.7500
As 0.8738 0.0354 0.4645
As 0.8738 0.0354 0.0355
As 0.6917 0.7127 0.2500
Ba 0.0469 0.3128 0.5527

---

11.
! Ba5SnAs8 (PBE, optimized geometry); values from VASP
! - energy of formation (kJ per mole of atoms) = -68.6
! - total moment (μB per cell) = 0.0
&SYSTEM
  ibrav = 0, nat = 14, ntyp = 3
/
ATOMIC_SPECIES
As 74.92 As.upf
Sn 118.71 Sn.upf
Ba 137.33 Ba.upf
CELL_PARAMETERS angstrom
-5.3109 -3.0530 6.1305
-3.0596 2.4278 -7.7365
5.2074 -6.6900 -1.7988
ATOMIC_POSITIONS crystal
As 0.6353 0.8875 0.9251
Sn 0.2500 0.7500 0.5000
As 0.2735 0.6119 0.7413
As 0.2898 0.3647 0.2522
As 0.1125 0.0376 0.7478
As 0.9624 0.7102 0.0749
Ba 0.5000 0.5000 0.0000
As 0.8706 0.5322 0.2587
As 0.3881 0.1294 0.6616
Ba 0.9375 0.3080 0.9205
As 0.4678 0.7265 0.3384
Ba 0.3875 0.0169 0.0795
Ba 0.9831 0.0625 0.3705
Ba 0.6920 0.6125 0.6295

---

12.
! Ba3SnAs (PBE, optimized geometry); values from VASP
! - energy of formation (kJ per mole of atoms) = -57.0
! - total moment (μB per cell) = 0.8
! - energy above the most stable polymorph in this dataset (meV per atom) = 0
&SYSTEM
  ibrav = 0, nat = 5, ntyp = 3
/
ATOMIC_SPECIES
Ba 137.33 Ba.upf
Sn 118.71 Sn.upf
As 74.92 As.upf
CELL_PARAMETERS angstrom
6.2749 0.0000 0.0000
0.0000 6.2749 0.0000
0.0000 0.0000 6.2749
ATOMIC_POSITIONS crystal
Ba 0.0000 0.0000 0.5000
Sn 0.5000 0.5000 0.5000
Ba 0.5000 0.0000 0.0000
As 0.0000 0.0000 0.0000
Ba 0.0000 0.5000 0.0000